Here is an optimized crystal structure of HgP2 from the Alexandria database. Energies are from PBE-GGA.

The structure in CIF format:
```
data_HgP2
_cell_length_a 3.2919
_cell_length_b 3.2919
_cell_length_c 7.8155
_cell_angle_alpha 90.00
_cell_angle_beta 90.00
_cell_angle_gamma 120.00
_space_group_name_H-M_alt 'P -3 m 1'
_space_group_IT_number 164
_space_group_name_Hall '-P 3 2"'
loop_
_atom_site_label
_atom_site_type_symbol
_atom_site_fract_x
_atom_site_fract_y
_atom_site_fract_z
Hg1 Hg 0.0000 0.0000 0.0000
P1 P 0.3333 0.6667 0.4211
```

## Properties
Energy relative to the elements in eV per formula unit: 0.11


Here is an optimized crystal structure of Cs2MgTaSi from the Alexandria database. Energies are from PBE-GGA.

The structure in CIF format:
```
data_Cs2MgTaSi
_cell_length_a 6.199
_cell_length_b 6.199
_cell_length_c 5.616
_cell_angle_alpha 90.00
_cell_angle_beta 90.00
_cell_angle_gamma 90.00
_space_group_name_H-M_alt 'P 4/m m m'
_space_group_IT_number 123
_space_group_name_Hall '-P 4 2'
loop_
_atom_site_label
_atom_site_type_symbol
_atom_site_fract_x
_atom_site_fract_y
_atom_site_fract_z
Cs1 Cs 0.000 0.500 0.000
Mg1 Mg 0.000 0.000 0.500
Ta1 Ta 0.000 0.000 0.000
Si1 Si 0.500 0.500 0.500
```

## Properties
Uncorrected formation energy in meV per atom: 1787
DOS at the Fermi energy in states/eV per cell: 6.1


Here is an optimized crystal structure of CoAsRu3 from the Alexandria database. Energies are from PBE-GGA.

The structure in CIF format:
```
data_CoAsRu3
_cell_length_a 4.418
_cell_length_b 4.418
_cell_length_c 4.418
_cell_angle_alpha 90.00
_cell_angle_beta 90.00
_cell_angle_gamma 90.00
_space_group_name_H-M_alt 'P m -3 m'
_space_group_IT_number 221
_space_group_name_Hall '-P 4 2 3'
loop_
_atom_site_label
_atom_site_type_symbol
_atom_site_fract_x
_atom_site_fract_y
_atom_site_fract_z
Co1 Co 0.000 0.000 0.000
As1 As 0.500 0.500 0.500
Ru1 Ru 0.000 0.000 0.500
```

## Properties
Energy relative to the elements in eV per formula unit: 6.95
Energy above the lowest structure with this stoichiometry in eV/atom: 0.146
DOS at the Fermi energy in states/eV per cell: 7.8


Here is an optimized crystal structure of Na2Hg3 from the Alexandria database. Energies are from PBE-GGA.

The structure in CIF format:
```
data_Na2Hg3
_cell_length_a 10.609
_cell_length_b 10.609
_cell_length_c 10.609
_cell_angle_alpha 90.00
_cell_angle_beta 90.00
_cell_angle_gamma 90.00
_space_group_name_H-M_alt 'I -4 3 d'
_space_group_IT_number 220
_space_group_name_Hall 'I -4bd 2c 3'
loop_
_atom_site_label
_atom_site_type_symbol
_atom_site_fract_x
_atom_site_fract_y
_atom_site_fract_z
Na1 Na 0.037 0.037 0.037
Hg1 Hg 0.000 0.250 0.234
```

## Properties
Energy relative to the elements in eV per formula unit: -0.71
Energy above the lowest structure with this stoichiometry in eV/atom: 0.000
DOS at the Fermi energy in states/eV per cell: 22.5


Here is an optimized crystal structure of InHg5Pb4 from the Alexandria database. Energies are from PBE-GGA.

The structure in CIF format:
```
data_InHg5Pb4
_cell_length_a 3.752
_cell_length_b 3.752
_cell_length_c 19.726
_cell_angle_alpha 90.00
_cell_angle_beta 90.00
_cell_angle_gamma 90.00
_space_group_name_H-M_alt 'P 4/m m m'
_space_group_IT_number 123
_space_group_name_Hall '-P 4 2'
loop_
_atom_site_label
_atom_site_type_symbol
_atom_site_fract_x
_atom_site_fract_y
_atom_site_fract_z
In1 In 0.000 0.000 0.000
Hg1 Hg 0.500 0.500 0.092
Hg2 Hg 0.500 0.500 0.297
Hg3 Hg 0.500 0.500 0.500
Pb1 Pb 0.000 0.000 0.195
Pb2 Pb 0.000 0.000 0.399
```

## Properties
Energy relative to the elements in eV per formula unit: 0.24
DOS at the Fermi energy in states/eV per cell: 3.2


Here is an optimized crystal structure of Ba2TaBr from the Alexandria database. Energies are from PBE-GGA.

The structure in CIF format:
```
data_Ba2TaBr
_cell_length_a 5.818
_cell_length_b 3.577
_cell_length_c 12.808
_cell_angle_alpha 90.00
_cell_angle_beta 90.00
_cell_angle_gamma 90.00
_space_group_name_H-M_alt 'A m m 2'
_space_group_IT_number 38
_space_group_name_Hall 'A 2 -2'
loop_
_atom_site_label
_atom_site_type_symbol
_atom_site_fract_x
_atom_site_fract_y
_atom_site_fract_z
Ba1 Ba 0.000 0.000 0.000
Ba2 Ba 0.500 0.000 0.261
Ta1 Ta 0.000 0.000 0.749
Br1 Br 0.500 0.000 0.520
```

## Properties
Energy above the lowest structure with this stoichiometry in eV/atom: 0.082
Uncorrected formation energy in meV per atom: 193
DOS at the Fermi energy in states/eV per cell: 9.9


Here is an optimized crystal structure of Tb7Pr2Nd2 from the Alexandria database. Energies are from PBE-GGA.

The structure in CIF format:
```
data_Tb7Pr2Nd2
_cell_length_a 11.369
_cell_length_b 11.709
_cell_length_c 6.142
_cell_angle_alpha 90.00
_cell_angle_beta 113.62
_cell_angle_gamma 90.00
_space_group_name_H-M_alt 'C 1 2/m 1'
_space_group_IT_number 12
_space_group_name_Hall '-C 2y'
loop_
_atom_site_label
_atom_site_type_symbol
_atom_site_fract_x
_atom_site_fract_y
_atom_site_fract_z
Tb1 Tb 0.000 0.000 0.000
Tb2 Tb 0.173 0.238 0.175
Tb3 Tb 0.232 0.000 0.577
Pr1 Pr 0.096 0.500 0.811
Nd1 Nd 0.000 0.212 0.500
```

## Properties
Energy relative to the elements in eV per formula unit: 1.60
DOS at the Fermi energy in states/eV per cell: 35.7


Here is an optimized crystal structure of SrReN3 from the Alexandria database. Energies are from PBE-GGA.

The structure in CIF format:
```
data_SrReN3
_cell_length_a 3.284
_cell_length_b 3.869
_cell_length_c 5.309
_cell_angle_alpha 90.00
_cell_angle_beta 90.09
_cell_angle_gamma 90.00
_space_group_name_H-M_alt 'P 1 m 1'
_space_group_IT_number 6
_space_group_name_Hall 'P -2y'
loop_
_atom_site_label
_atom_site_type_symbol
_atom_site_fract_x
_atom_site_fract_y
_atom_site_fract_z
Sr1 Sr 0.000 0.000 0.000
Re1 Re 0.499 0.500 0.570
N1 N 0.500 0.500 0.906
N2 N 0.999 0.190 0.480
```

## Properties
Uncorrected formation energy in meV per atom: -196
DOS at the Fermi energy in states/eV per cell: 0.4


Here is an optimized crystal structure of RbZnP from the Alexandria database. Energies are from PBE-GGA.

The structure in CIF format:
```
data_RbZnP
_cell_length_a 4.1243
_cell_length_b 4.1243
_cell_length_c 5.4842
_cell_angle_alpha 90.00
_cell_angle_beta 90.00
_cell_angle_gamma 120.00
_space_group_name_H-M_alt 'P -6 m 2'
_space_group_IT_number 187
_space_group_name_Hall 'P -6 2'
loop_
_atom_site_label
_atom_site_type_symbol
_atom_site_fract_x
_atom_site_fract_y
_atom_site_fract_z
Rb1 Rb 0.0000 0.0000 0.0000
Zn1 Zn 0.3333 0.6667 0.5000
P1 P 0.6667 0.3333 0.5000
```

## Properties
Energy relative to the elements in eV per formula unit: -1.24


Here is an optimized crystal structure of LaPm4N5 from the Alexandria database. Energies are from PBE-GGA.

The structure in CIF format:
```
data_LaPm4N5
_cell_length_a 8.113
_cell_length_b 8.113
_cell_length_c 5.203
_cell_angle_alpha 90.00
_cell_angle_beta 90.00
_cell_angle_gamma 90.00
_space_group_name_H-M_alt 'I 4'
_space_group_IT_number 79
_space_group_name_Hall 'I 4'
loop_
_atom_site_label
_atom_site_type_symbol
_atom_site_fract_x
_atom_site_fract_y
_atom_site_fract_z
La1 La 0.000 0.000 0.000
Pm1 Pm 0.099 0.301 0.498
N1 N 0.000 0.000 0.514
N2 N 0.102 0.304 0.026
```

## Properties
Uncorrected formation energy in meV per atom: -1408
DOS at the Fermi energy in states/eV per cell: 2.5


Here is an optimized crystal structure of Pr2Zn3Ga from the Alexandria database. Energies are from PBE-GGA.

The structure in CIF format:
```
data_Pr2Zn3Ga
_cell_length_a 4.166
_cell_length_b 4.371
_cell_length_c 15.310
_cell_angle_alpha 90.00
_cell_angle_beta 90.00
_cell_angle_gamma 90.00
_space_group_name_H-M_alt 'I m m 2'
_space_group_IT_number 44
_space_group_name_Hall 'I 2 -2'
loop_
_atom_site_label
_atom_site_type_symbol
_atom_site_fract_x
_atom_site_fract_y
_atom_site_fract_z
Pr1 Pr 0.000 0.000 0.000
Pr2 Pr 0.000 0.500 0.259
Zn1 Zn 0.000 0.000 0.589
Zn2 Zn 0.000 0.500 0.671
Zn3 Zn 0.000 0.500 0.836
Ga1 Ga 0.000 0.000 0.424
```

## Properties
Energy relative to the elements in eV per formula unit: -2.39
Energy above the lowest structure with this stoichiometry in eV/atom: 0.027
DOS at the Fermi energy in states/eV per cell: 15.1


Here is an optimized crystal structure of SnBiTe from the Alexandria database. Energies are from PBE-GGA.

The structure in CIF format:
```
data_SnBiTe
_cell_length_a 4.361
_cell_length_b 6.358
_cell_length_c 8.092
_cell_angle_alpha 82.34
_cell_angle_beta 89.99
_cell_angle_gamma 89.91
_space_group_name_H-M_alt 'P -1'
_space_group_IT_number 2
_space_group_name_Hall '-P 1'
loop_
_atom_site_label
_atom_site_type_symbol
_atom_site_fract_x
_atom_site_fract_y
_atom_site_fract_z
Sn1 Sn 0.249 0.287 0.372
Bi1 Bi 0.250 0.339 0.974
Te1 Te 0.251 0.768 0.368
```

## Properties
Uncorrected formation energy in meV per atom: -67
DOS at the Fermi energy in states/eV per cell: 1.4


Here is an optimized crystal structure of BeBP from the Alexandria database. Energies are from PBE-GGA.

The structure in CIF format:
```
data_BeBP
_cell_length_a 3.613
_cell_length_b 4.351
_cell_length_c 5.091
_cell_angle_alpha 113.20
_cell_angle_beta 102.28
_cell_angle_gamma 99.21
_space_group_name_H-M_alt 'P -1'
_space_group_IT_number 2
_space_group_name_Hall '-P 1'
loop_
_atom_site_label
_atom_site_type_symbol
_atom_site_fract_x
_atom_site_fract_y
_atom_site_fract_z
Be1 Be 0.194 0.459 0.232
B1 B 0.448 0.684 0.011
P1 P 0.302 0.833 0.696
```

## Properties
Energy relative to the elements in eV per formula unit: 0.01
Energy above the lowest structure with this stoichiometry in eV/atom: 0.000
DOS at the Fermi energy in states/eV per cell: 0.6


Here is an optimized crystal structure of AlGeMo from the Alexandria database. Energies are from PBE-GGA.

The structure in CIF format:
```
data_AlGeMo
_cell_length_a 4.873
_cell_length_b 8.896
_cell_length_c 8.432
_cell_angle_alpha 90.00
_cell_angle_beta 90.00
_cell_angle_gamma 90.00
_space_group_name_H-M_alt 'F d d 2'
_space_group_IT_number 43
_space_group_name_Hall 'F 2 -2d'
loop_
_atom_site_label
_atom_site_type_symbol
_atom_site_fract_x
_atom_site_fract_y
_atom_site_fract_z
Al1 Al 0.000 0.000 0.000
Ge1 Ge 0.000 0.000 0.328
Mo1 Mo 0.000 0.000 0.664
```

## Properties
Energy relative to the elements in eV per formula unit: -0.82
DOS at the Fermi energy in states/eV per cell: 15.3


Here is an optimized crystal structure of InPbCl2 from the Alexandria database. Energies are from PBE-GGA.

The structure in CIF format:
```
data_InPbCl2
_cell_length_a 4.096
_cell_length_b 6.494
_cell_length_c 9.650
_cell_angle_alpha 90.00
_cell_angle_beta 90.00
_cell_angle_gamma 90.00
_space_group_name_H-M_alt 'C m m 2'
_space_group_IT_number 35
_space_group_name_Hall 'C 2 -2'
loop_
_atom_site_label
_atom_site_type_symbol
_atom_site_fract_x
_atom_site_fract_y
_atom_site_fract_z
In1 In 0.000 0.000 0.000
Pb1 Pb 0.000 0.500 0.720
Cl1 Cl 0.000 0.000 0.528
Cl2 Cl 0.000 0.500 0.178
```

## Properties
Energy above the lowest structure with this stoichiometry in eV/atom: 0.136
Uncorrected formation energy in meV per atom: -573
DOS at the Fermi energy in states/eV per cell: 3.3


Here is an optimized crystal structure of LiCa2VOs from the Alexandria database. Energies are from PBE-GGA.

The structure in CIF format:
```
data_LiCa2VOs
_cell_length_a 5.688
_cell_length_b 5.688
_cell_length_c 4.412
_cell_angle_alpha 90.00
_cell_angle_beta 90.00
_cell_angle_gamma 90.00
_space_group_name_H-M_alt 'P 4/m m m'
_space_group_IT_number 123
_space_group_name_Hall '-P 4 2'
loop_
_atom_site_label
_atom_site_type_symbol
_atom_site_fract_x
_atom_site_fract_y
_atom_site_fract_z
Li1 Li 0.000 0.000 0.000
Ca1 Ca 0.000 0.500 0.500
V1 V 0.500 0.500 0.500
Os1 Os 0.500 0.500 0.000
```

## Properties
Energy relative to the elements in eV per formula unit: 3.70
DOS at the Fermi energy in states/eV per cell: 4.8


Here is an optimized crystal structure of KCaHg3 from the Alexandria database. Energies are from PBE-GGA.

The structure in CIF format:
```
data_KCaHg3
_cell_length_a 5.978
_cell_length_b 5.978
_cell_length_c 5.978
_cell_angle_alpha 90.00
_cell_angle_beta 90.00
_cell_angle_gamma 90.00
_space_group_name_H-M_alt 'P m -3 m'
_space_group_IT_number 221
_space_group_name_Hall '-P 4 2 3'
loop_
_atom_site_label
_atom_site_type_symbol
_atom_site_fract_x
_atom_site_fract_y
_atom_site_fract_z
K1 K 0.000 0.000 0.000
Ca1 Ca 0.500 0.500 0.500
Hg1 Hg 0.000 0.500 0.500
```

## Properties
Energy relative to the elements in eV per formula unit: -0.43
Energy above the lowest structure with this stoichiometry in eV/atom: 0.256
DOS at the Fermi energy in states/eV per cell: 3.2


Here is an optimized crystal structure of CdIrOs2 from the Alexandria database. Energies are from PBE-GGA.

The structure in CIF format:
```
data_CdIrOs2
_cell_length_a 2.765
_cell_length_b 2.765
_cell_length_c 8.207
_cell_angle_alpha 90.00
_cell_angle_beta 90.00
_cell_angle_gamma 90.00
_space_group_name_H-M_alt 'P 4/m m m'
_space_group_IT_number 123
_space_group_name_Hall '-P 4 2'
loop_
_atom_site_label
_atom_site_type_symbol
_atom_site_fract_x
_atom_site_fract_y
_atom_site_fract_z
Cd1 Cd 0.000 0.000 0.000
Ir1 Ir 0.000 0.000 0.500
Os1 Os 0.500 0.500 0.272
```

## Properties
Energy relative to the elements in eV per formula unit: 1.74
DOS at the Fermi energy in states/eV per cell: 4.4


Here is an optimized crystal structure of KFeP2S from the Alexandria database. Energies are from PBE-GGA.

The structure in CIF format:
```
data_KFeP2S
_cell_length_a 4.288
_cell_length_b 4.288
_cell_length_c 5.440
_cell_angle_alpha 90.00
_cell_angle_beta 90.00
_cell_angle_gamma 90.00
_space_group_name_H-M_alt 'P 4/m m m'
_space_group_IT_number 123
_space_group_name_Hall '-P 4 2'
loop_
_atom_site_label
_atom_site_type_symbol
_atom_site_fract_x
_atom_site_fract_y
_atom_site_fract_z
K1 K 0.000 0.000 0.000
Fe1 Fe 0.500 0.500 0.500
P1 P 0.000 0.500 0.500
S1 S 0.500 0.500 0.000
```

## Properties
Energy above the lowest structure with this stoichiometry in eV/atom: 0.000
Uncorrected formation energy in meV per atom: 59
DOS at the Fermi energy in states/eV per cell: 4.3


Here is an optimized crystal structure of Al2O from the Alexandria database. Energies are from PBE-GGA.

The structure in CIF format:
```
data_Al2O
_cell_length_a 2.858
_cell_length_b 7.465
_cell_length_c 4.520
_cell_angle_alpha 90.00
_cell_angle_beta 90.00
_cell_angle_gamma 90.00
_space_group_name_H-M_alt 'P m n 21'
_space_group_IT_number 31
_space_group_name_Hall 'P 2ac -2'
loop_
_atom_site_label
_atom_site_type_symbol
_atom_site_fract_x
_atom_site_fract_y
_atom_site_fract_z
Al1 Al 0.000 0.071 0.000
Al2 Al 0.000 0.621 0.329
O1 O 0.000 0.450 0.615
```

## Properties
Energy above the lowest structure with this stoichiometry in eV/atom: 0.014
Uncorrected formation energy in meV per atom: -1438
DOS at the Fermi energy in states/eV per cell: 1.6